[1]
Here is a relaxed Dy3YHg2 crystal from the Alexandria database. Energies are from PBE.

Calculated values
Magnetic moment (Bohr magnetons per cell): 0.00
Energy above the lowest structure with this stoichiometry (kJ/mol of atoms): 0.0
Space-group type: Pmc2_1, No. 26
ρ (kg/m³): 9726
E (eV/f.u.): -23.1
Crystal system: orthorhombic
ΔE_f (eV per atom): -0.371

Lattice parameters (Å, degrees): 5.1119 9.2266 7.0775 90.00 90.00 90.00
Closest atoms and distances in Å follow each position.
Positions (direct):
Dy (0.0000, 0.0561, 0.0000)  3 Hg 3.14-3.24, 1 Dy 3.48
Dy (0.0000, 0.3246, 0.3460)  4 Hg 3.03-3.09
Dy (0.0000, 0.6754, 0.8460)  4 Hg 3.03-3.09
Dy (0.0000, 0.9439, 0.5000)  3 Hg 3.14-3.24, 1 Dy 3.48
Dy (0.5000, 0.1738, 0.6855)  4 Hg 3.02-3.10
Dy (0.5000, 0.8262, 0.1855)  4 Hg 3.02-3.10
Y (0.5000, 0.4451, 0.0313)  3 Hg 3.15-3.24, 1 Dy 3.50
Y (0.5000, 0.5549, 0.5313)  3 Hg 3.15-3.24, 1 Dy 3.50
Hg (0.0000, 0.3508, 0.7775)  5 Dy 3.03-3.14, 2 Y 3.24
Hg (0.0000, 0.6492, 0.2775)  5 Dy 3.03-3.14, 2 Y 3.24
Hg (0.5000, 0.1497, 0.2535)  6 Dy 3.02-3.24, 1 Y 3.15
Hg (0.5000, 0.8503, 0.7535)  6 Dy 3.02-3.24, 1 Y 3.15


[2]
Here is a relaxed Rb3CaSn2I9 crystal from the Alexandria database. Energies are from PBE.

Calculated values
Magnetic moment (Bohr magnetons per cell): 0.00
Space-group type: P-3m1, No. 164
ρ (kg/m³): 3784
E (eV/f.u.): -43.1
Uncorrected formation energy (meV per atom): -1083
Crystal system: trigonal

Lattice parameters (Å, degrees): 8.8201 8.8201 10.9165 90.00 90.00 120.00
Closest atoms and distances in Å follow each position.
Positions (direct):
Rb (0.0000, 0.0000, 0.0000)  12 I 4.41-4.48
Rb (0.3333, 0.6667, 0.6216)  9 I 4.01-4.43
Rb (0.6667, 0.3333, 0.3784)  9 I 4.01-4.43
Ca (0.0000, 0.0000, 0.5000)  6 I 3.11
Sn (0.3333, 0.6667, 0.1619)  6 I 3.10-3.18
Sn (0.6667, 0.3333, 0.8381)  6 I 3.10-3.18
I (0.0000, 0.5000, 0.0000)  2 Sn 3.10
I (0.1670, 0.3339, 0.3373)  1 Ca 3.11, 1 Sn 3.18
I (0.1670, 0.8330, 0.3373)  1 Ca 3.11, 1 Sn 3.18
I (0.3339, 0.1670, 0.6627)  1 Ca 3.11, 1 Sn 3.18
I (0.5000, 0.0000, 0.0000)  2 Sn 3.10
I (0.5000, 0.5000, 0.0000)  2 Sn 3.10
I (0.6661, 0.8330, 0.3373)  1 Ca 3.11, 1 Sn 3.18
I (0.8330, 0.1670, 0.6627)  1 Ca 3.11, 1 Sn 3.18
I (0.8330, 0.6661, 0.6627)  1 Ca 3.11, 1 Sn 3.18


[3]
Here is a relaxed CeDyErHg crystal from the Alexandria database. Energies are from PBE.

Calculated values
Magnetic moment (Bohr magnetons per cell): 0.74
Space-group type: F-43m, No. 216
ρ (kg/m³): 10545
E (eV/f.u.): -15.3
Crystal system: cubic
ΔE_f (eV per atom): 0.017

Lattice parameters (Å, degrees): 5.3052 5.3052 5.3052 60.00 60.00 60.00
Closest atoms and distances in Å follow each position.
Positions (direct):
Ce (0.0000, 0.0000, 0.0000)  4 Dy 3.25, 4 Er 3.25
Dy (0.2500, 0.2500, 0.2500)  4 Hg 3.25, 4 Ce 3.25
Er (0.7500, 0.7500, 0.7500)  4 Hg 3.25, 4 Ce 3.25
Hg (0.5000, 0.5000, 0.5000)  4 Dy 3.25, 4 Er 3.25


[4]
Here is a relaxed Nd2Dy2Tm crystal from the Alexandria database. Energies are from PBE.

Calculated values
Magnetic moment (Bohr magnetons per cell): 0.00
Energy above the lowest structure with this stoichiometry (kJ/mol of atoms): 0.0
Space-group type: C2/c, No. 15
ρ (kg/m³): 7888
E (eV/f.u.): -23.1
Crystal system: monoclinic
ΔE_f (eV per atom): 0.020

Lattice parameters (Å, degrees): 8.5337 8.5337 6.8039 103.02 103.02 43.26
Closest atoms and distances in Å follow each position.
Positions (direct):
Nd (0.0189, 0.1828, 0.4461)  5 Dy 3.53-3.66, 4 Nd 3.55-3.64, 3 Tm 3.59-3.63
Nd (0.1828, 0.0189, 0.9461)  5 Dy 3.53-3.66, 4 Nd 3.55-3.64, 3 Tm 3.59-3.63
Nd (0.8172, 0.9811, 0.0539)  5 Dy 3.53-3.66, 4 Nd 3.55-3.64, 3 Tm 3.59-3.63
Nd (0.9811, 0.8172, 0.5539)  5 Dy 3.53-3.66, 4 Nd 3.55-3.64, 3 Tm 3.59-3.63
Dy (0.2199, 0.3821, 0.8485)  5 Nd 3.53-3.66, 2 Tm 3.54-3.64, 5 Dy 3.55-3.64
Dy (0.3821, 0.2199, 0.3485)  5 Nd 3.53-3.66, 2 Tm 3.54-3.64, 5 Dy 3.55-3.64
Dy (0.6179, 0.7801, 0.6515)  5 Nd 3.53-3.66, 2 Tm 3.54-3.64, 5 Dy 3.55-3.64
Dy (0.7801, 0.6179, 0.1515)  5 Nd 3.53-3.66, 2 Tm 3.54-3.64, 5 Dy 3.55-3.64
Tm (0.4178, 0.5822, 0.2500)  4 Dy 3.54-3.64, 2 Tm 3.56, 6 Nd 3.59-3.63
Tm (0.5822, 0.4178, 0.7500)  4 Dy 3.54-3.64, 2 Tm 3.56, 6 Nd 3.59-3.63


[5]
Here is a relaxed PrY2Sn crystal from the Alexandria database. Energies are from PBE.

Calculated values
Magnetic moment (Bohr magnetons per cell): 0.28
Energy above the lowest structure with this stoichiometry (kJ/mol of atoms): 0.7
Space-group type: P4/mmm, No. 123
ρ (kg/m³): 6210
E (eV/f.u.): -23.4
Crystal system: tetragonal
ΔE_f (eV per atom): -0.422

Lattice parameters (Å, degrees): 4.9187 4.9187 4.8343 90.00 90.00 90.00
Closest atoms and distances in Å follow each position.
Positions (direct):
Pr (0.0000, 0.0000, 0.0000)  8 Y 3.45, 4 Sn 3.48
Y (0.0000, 0.5000, 0.5000)  4 Sn 3.45, 4 Pr 3.45, 4 Y 3.48
Y (0.5000, 0.0000, 0.5000)  4 Sn 3.45, 4 Pr 3.45, 4 Y 3.48
Sn (0.5000, 0.5000, 0.0000)  8 Y 3.45, 4 Pr 3.48


[6]
Here is a relaxed TaMo2As crystal from the Alexandria database. Energies are from PBE.

Calculated values
Magnetic moment (Bohr magnetons per cell): 0.00
Space-group type: R3m, No. 160
ρ (kg/m³): 10870
E (eV/f.u.): -37.4
Crystal system: trigonal
ΔE_f (eV per atom): 0.191

Lattice parameters (Å, degrees): 8.0908 8.0908 8.0908 22.56 22.56 22.56
Closest atoms and distances in Å follow each position.
Positions (direct):
Ta (0.0000, 0.0000, 0.0000)  3 Mo 2.71, 3 As 2.73
Mo (0.5021, 0.5021, 0.5021)  3 As 2.61, 3 Mo 2.70
Mo (0.7512, 0.7512, 0.7512)  3 Mo 2.70, 3 Ta 2.71
As (0.2478, 0.2478, 0.2478)  3 Mo 2.61, 3 Ta 2.73


[7]
Here is a relaxed BaFeNiBr2 crystal from the Alexandria database. Energies are from PBE.

Calculated values
Magnetic moment (Bohr magnetons per cell): 3.83
Space-group type: P4/mmm, No. 123
ρ (kg/m³): 4376
E (eV/f.u.): -18.5
Uncorrected formation energy (meV per atom): 203
Crystal system: tetragonal

Lattice parameters (Å, degrees): 4.8740 4.8740 6.5755 90.00 90.00 90.00
Closest atoms and distances in Å follow each position.
Positions (direct):
Ba (0.0000, 0.0000, 0.0000)  2 Fe 3.29, 4 Ni 3.45
Fe (0.0000, 0.0000, 0.5000)  4 Br 2.44
Ni (0.5000, 0.5000, 0.0000)  4 Ba 3.45
Br (0.0000, 0.5000, 0.5000)  2 Fe 2.44
Br (0.5000, 0.0000, 0.5000)  2 Fe 2.44


[8]
Here is a relaxed AcNd2Cu2 crystal from the Alexandria database. Energies are from PBE.

Calculated values
Magnetic moment (Bohr magnetons per cell): 0.00
Space-group type: P2_1/m, No. 11
ρ (kg/m³): 7564
E (eV/f.u.): -22.3
Crystal system: monoclinic
ΔE_f (eV per atom): -0.087

Lattice parameters (Å, degrees): 5.1602 4.8551 11.3262 90.00 96.14 90.00
Closest atoms and distances in Å follow each position.
Positions (direct):
Ac (0.1959, 0.2500, 0.2419)  1 Cu 3.10
Ac (0.8041, 0.7500, 0.7581)  1 Cu 3.10
Nd (0.2500, 0.7500, 0.4937)  4 Cu 2.90-2.96
Nd (0.3400, 0.2500, 0.8857)  5 Cu 2.82-3.04
Nd (0.6600, 0.7500, 0.1143)  5 Cu 2.82-3.04
Nd (0.7500, 0.2500, 0.5063)  4 Cu 2.90-2.96
Cu (0.1281, 0.7500, 0.0052)  2 Cu 2.76, 4 Nd 2.83-3.04
Cu (0.2792, 0.2500, 0.6348)  5 Nd 2.82-2.96
Cu (0.7208, 0.7500, 0.3652)  5 Nd 2.82-2.96
Cu (0.8719, 0.2500, 0.9948)  2 Cu 2.76, 4 Nd 2.83-3.04